Density functional theory data (PBE-GGA) for DyHo12Ni6 after structural relaxation.

Computed properties:
As for the raw total energy: -5.2071 eV/atom. As for the space group: No. 204. The density of states at the Fermi level comes out at 22.79 states/eV per cell. The calculation puts the size of the total moment at 0.001 μB per formula unit.

Cell: 8.478 8.478 8.478 Å, 109.47 109.47 109.47°
Fractional coordinates of all 19 atoms:
Dy1 0.000 0.000 0.000
Ho1 0.311 0.126 0.816
Ho2 0.311 0.495 0.184
Ho3 0.689 0.505 0.816
Ho4 0.689 0.874 0.184
Ho5 0.126 0.816 0.311
Ho6 0.495 0.184 0.311
Ho7 0.505 0.816 0.689
Ho8 0.874 0.184 0.689
Ho9 0.816 0.311 0.126
Ho10 0.184 0.311 0.495
Ho11 0.816 0.689 0.505
Ho12 0.184 0.689 0.874
Ni1 0.376 0.500 0.876
Ni2 0.624 0.500 0.124
Ni3 0.500 0.876 0.376
Ni4 0.500 0.124 0.624
Ni5 0.876 0.376 0.500
Ni6 0.124 0.624 0.500